Record 1
SmDy2Th | PBE-GGA | relaxed

- Uncorrected energy: -5.1808 eV per atom
- Polymorph energy (0 for the lowest one): 144 meV per atom
- SG: No. 166
- Formation energy: 0.1550 eV/atom
- Magnetic moment: 0.00 Bohr magnetons per cell
- DOS at the Fermi energy: 1.66 states/eV/atom

Cell: 3.512 3.512 12.543 Å, 81.95 81.95 60.00°
Fractional positions:
1 Sm 0.000 0.000 0.000
2 Th 0.500 0.500 0.500
3 Dy 0.092 0.092 0.725
4 Dy 0.908 0.908 0.275

---

Record 2
BaPrBi | PBE-GGA | relaxed

- Uncorrected energy: -4.2577 eV per atom
- Polymorph energy (0 for the lowest one): 0 meV per atom
- SG: No. 12
- Formation energy: -0.7300 eV/atom
- Magnetic moment: 0.24 Bohr magnetons per cell
- DOS at the Fermi energy: 1.08 states/eV/atom

Cell: 5.040 5.040 10.098 Å, 104.43 104.43 89.99°
Fractional positions:
1 Bi 0.874 0.874 0.748
2 Bi 0.126 0.126 0.252
3 Ba 0.324 0.324 0.648
4 Ba 0.676 0.676 0.352
5 Pr 0.500 0.000 0.000
6 Pr 0.000 0.500 0.000

---

Record 3
TmNi3B3 | PBE-GGA | relaxed

- Uncorrected energy: -6.0984 eV per atom
- Polymorph energy (0 for the lowest one): 102 meV per atom
- SG: No. 223
- Formation energy: -0.1202 eV/atom
- Magnetic moment: 0.00 Bohr magnetons per cell
- DOS at the Fermi energy: 0.75 states/eV/atom

Cell: 5.501 5.501 5.501 Å, 90.00 90.00 90.00°
Fractional positions:
1 Ni 0.000 0.250 0.500
2 Ni 0.000 0.750 0.500
3 Ni 0.500 0.000 0.750
4 Ni 0.750 0.500 0.000
5 Ni 0.500 0.000 0.250
6 Ni 0.250 0.500 0.000
7 B 0.250 0.000 0.500
8 B 0.000 0.500 0.250
9 B 0.500 0.750 0.000
10 B 0.750 0.000 0.500
11 B 0.000 0.500 0.750
12 B 0.500 0.250 0.000
13 Tm 0.500 0.500 0.500
14 Tm 0.000 0.000 0.000

---

Record 4
CsLi2YBr6 | PBE-GGA | relaxed

- Uncorrected energy: -3.8466 eV per atom
- Energy relative to the elements, uncorrected: -1.728 eV/atom
- SG: No. 1
- Magnetic moment: 0.00 Bohr magnetons per cell
- DOS at the Fermi energy: 0.00 states/eV/atom

Cell: 7.850 7.964 7.984 Å, 62.63 74.70 56.24°
Fractional positions:
1 Cs 0.566 0.879 0.661
2 Li 0.713 0.453 0.332
3 Li 0.905 0.138 0.929
4 Y 0.331 0.324 0.017
5 Br 0.659 0.246 0.197
6 Br 0.548 0.863 0.140
7 Br 0.099 0.281 0.344
8 Br 0.151 0.771 0.904
9 Br 0.611 0.340 0.695
10 Br 0.078 0.367 0.797

---

Record 5
LiMg4In | PBE-GGA | relaxed

- Uncorrected energy: -1.8896 eV per atom
- Polymorph energy (0 for the lowest one): 0 meV per atom
- SG: No. 31
- Formation energy: -0.0511 eV/atom
- Magnetic moment: 0.00 Bohr magnetons per cell
- DOS at the Fermi energy: 0.34 states/eV/atom

Cell: 8.676 4.983 6.168 Å, 90.00 90.00 90.00°
Fractional positions:
1 Li 0.892 0.249 0.000
2 Li 0.392 0.751 0.500
3 Mg 0.395 0.750 0.000
4 Mg 0.055 0.750 0.000
5 Mg 0.228 0.250 0.752
6 Mg 0.728 0.750 0.748
7 Mg 0.555 0.250 0.500
8 Mg 0.895 0.250 0.500
9 Mg 0.728 0.750 0.252
10 Mg 0.228 0.250 0.248
11 In 0.573 0.250 0.000
12 In 0.073 0.750 0.500

---

Record 6
Ba2ZnPb2 | PBE-GGA | relaxed

- Uncorrected energy: -2.9732 eV per atom
- Polymorph energy (0 for the lowest one): 0 meV per atom
- SG: No. 12
- Formation energy: -0.4660 eV/atom
- Magnetic moment: 0.00 Bohr magnetons per cell
- DOS at the Fermi energy: 0.17 states/eV/atom

Cell: 5.257 6.746 11.267 Å, 85.24 76.51 67.07°
Fractional positions:
1 Ba 0.677 0.311 0.335
2 Ba 0.924 0.260 0.892
3 Ba 0.323 0.689 0.665
4 Ba 0.076 0.740 0.108
5 Zn 0.629 0.090 0.652
6 Zn 0.371 0.910 0.348
7 Pb 0.098 0.251 0.552
8 Pb 0.635 0.851 0.879
9 Pb 0.902 0.749 0.448
10 Pb 0.365 0.149 0.121

---

Record 7
Dy4Er5Th | PBE-GGA | relaxed

- Uncorrected energy: -4.5321 eV per atom
- Polymorph energy (0 for the lowest one): 149 meV per atom
- SG: No. 79
- Formation energy: 0.3322 eV/atom
- Magnetic moment: 0.00 Bohr magnetons per cell
- DOS at the Fermi energy: 1.46 states/eV/atom

Cell: 6.321 7.829 7.828 Å, 80.62 66.19 66.19°
Fractional positions:
1 Dy 0.398 0.397 0.704
2 Dy 0.796 0.704 0.603
3 Dy 0.102 0.296 0.397
4 Dy 0.500 0.603 0.296
5 Er 0.806 0.377 0.910
6 Er 0.183 0.910 0.623
7 Er 0.716 0.090 0.377
8 Er 0.093 0.623 0.090
9 Er 0.691 0.000 0.000
10 Th 0.224 0.000 0.000

---

Record 8
Ce8Ir3I4N | PBE-GGA | relaxed

- Uncorrected energy: -6.4817 eV per atom
- Energy relative to the elements, uncorrected: -0.945 eV/atom
- SG: No. 166
- Magnetic moment: 8.40 Bohr magnetons per cell
- DOS at the Fermi energy: 2.44 states/eV/atom

Cell: 8.109 9.260 8.113 Å, 116.01 119.99 90.00°
Each line ends with the local moment (μB).
Fractional positions:
1 Ce 0.211 0.680 0.969  0.92
2 Ce 0.212 0.680 0.424  0.92
3 Ce 0.272 0.316 0.544  0.62
4 Ce 0.757 0.680 0.969  0.92
5 Ce 0.243 0.320 0.031  0.92
6 Ce 0.728 0.684 0.456  0.62
7 Ce 0.788 0.320 0.576  0.92
8 Ce 0.789 0.320 0.031  0.92
9 Ir 0.500 0.500 0.000  -0.05
10 Ir 0.500 0.500 0.500  -0.05
11 Ir 0.000 0.500 0.500  -0.05
12 I 0.500 0.000 0.000  0.00
13 I 0.500 0.000 0.500  -0.01
14 I 0.000 0.000 0.000  -0.01
15 I 0.000 0.000 0.500  -0.01
16 N 0.000 0.500 0.000  -0.08

---

Record 9
ZrZnP3 | PBE-GGA | relaxed

- Uncorrected energy: -4.7100 eV per atom
- Polymorph energy (0 for the lowest one): 0 meV per atom
- SG: No. 221
- Formation energy: 0.5004 eV/atom
- Magnetic moment: 0.00 Bohr magnetons per cell
- DOS at the Fermi energy: 0.88 states/eV/atom

Cell: 5.017 5.017 5.017 Å, 90.00 90.00 90.00°
Fractional positions:
1 P 0.000 0.500 0.000
2 P 0.000 0.000 0.500
3 P 0.500 0.000 0.000
4 Zn 0.500 0.500 0.500
5 Zr 0.000 0.000 0.000

---

Record 10
Pm3ThSn2C | PBE-GGA | relaxed

- Uncorrected energy: -6.0774 eV per atom
- SG: No. 71
- Formation energy: -0.5200 eV/atom
- Magnetic moment: 0.00 Bohr magnetons per cell
- DOS at the Fermi energy: 0.67 states/eV/atom

Cell: 4.965 5.005 8.933 Å, 106.27 106.14 90.00°
Fractional positions:
1 Pm 0.000 0.500 0.000
2 Pm 0.162 0.162 0.324
3 Pm 0.838 0.838 0.676
4 Th 0.500 0.000 0.000
5 Sn 0.640 0.640 0.280
6 Sn 0.360 0.360 0.720
7 C 0.000 0.000 0.000

---

Record 11
SrLa2Hg2 | PBE-GGA | relaxed

- Uncorrected energy: -2.7605 eV per atom
- Polymorph energy (0 for the lowest one): 62 meV per atom
- SG: No. 127
- Formation energy: -0.3324 eV/atom
- Magnetic moment: 0.00 Bohr magnetons per cell
- DOS at the Fermi energy: 1.15 states/eV/atom

Cell: 9.352 9.352 3.662 Å, 90.00 90.00 90.00°
Fractional positions:
1 Sr 0.000 0.000 0.000
2 Sr 0.500 0.500 0.000
3 Hg 0.176 0.676 0.500
4 Hg 0.676 0.824 0.500
5 Hg 0.824 0.324 0.500
6 Hg 0.324 0.176 0.500
7 La 0.381 0.881 0.000
8 La 0.881 0.619 0.000
9 La 0.619 0.119 0.000
10 La 0.119 0.381 0.000

---

Record 12
NpPaO4 | PBE-GGA | relaxed

- Uncorrected energy: -10.4490 eV per atom
- Energy relative to the elements, uncorrected: -3.404 eV/atom
- SG: No. 123
- Magnetic moment: 4.00 Bohr magnetons per cell
- DOS at the Fermi energy: 1.66 states/eV/atom

Cell: 3.847 3.847 5.465 Å, 90.00 90.00 90.00°
Each line ends with the local moment (μB).
Fractional positions:
1 Np 0.001 0.997 0.498  3.50
2 Pa 0.501 0.497 0.998  0.51
3 O 0.501 0.997 0.240  -0.04
4 O 0.501 0.997 0.756  -0.04
5 O 0.001 0.497 0.756  -0.04
6 O 0.001 0.497 0.240  -0.04